Density functional theory data (PBE) for a geometry-optimized TlPd3Rh4O12 structure.

Lattice parameters (Å, degrees): 6.638 6.638 6.638 109.47 109.47 109.47
Each line ends with the local moment (μB).
Sites, in units of the cell vectors:
O1 0.694 0.176 0.870  0.06
O2 0.481 0.306 0.176  0.06
O3 0.306 0.176 0.481  0.06
O4 0.824 0.519 0.694  0.06
O5 0.176 0.481 0.306  0.06
O6 0.870 0.694 0.176  0.06
O7 0.824 0.130 0.306  0.06
O8 0.176 0.870 0.694  0.06
O9 0.306 0.824 0.130  0.06
O10 0.130 0.306 0.824  0.06
O11 0.519 0.694 0.824  0.06
O12 0.694 0.824 0.519  0.06
Rh1 0.500 0.500 0.500  0.21
Rh2 0.500 0.000 0.000  0.21
Rh3 0.000 0.000 0.500  0.21
Rh4 0.000 0.500 0.000  0.21
Pd1 0.500 0.500 0.000  0.11
Pd2 0.500 0.000 0.500  0.11
Pd3 0.000 0.500 0.500  0.11
Tl1 0.000 0.000 0.000  0.01

**Magnetic moment**: 2.06 μB per cell
**Volume**: 225.1 Å³/cell
**Raw total energy**: -5.90 eV per atom
**N(E_F)**: 21.71 states/eV per cell

=====

Density functional theory data (PBE) for a geometry-optimized YFeSI2 structure.

Lattice parameters (Å, degrees): 6.104 4.056 6.104 90.00 90.00 90.00
Each line ends with the local moment (μB).
Sites, in units of the cell vectors:
Fe1 0.000 0.500 0.000  2.37
I1 0.500 0.000 0.000  0.05
I2 0.000 0.000 0.500  0.02
S1 0.000 0.000 0.000  -0.01
Y1 0.500 0.500 0.500  -0.22

**Magnetic moment**: 2.13 μB per cell
**Volume**: 151.1 Å³/cell
**Raw total energy**: -4.21 eV per atom
**N(E_F)**: 4.68 states/eV per cell

=====

Density functional theory data (PBE) for a geometry-optimized NpBePb2O6 structure.

Lattice parameters (Å, degrees): 5.648 5.634 5.681 119.73 119.97 90.00
Each line ends with the local moment (μB).
Sites, in units of the cell vectors:
Be1 0.500 0.000 0.000  -0.01
O1 0.718 0.244 0.487  -0.04
O2 0.751 0.252 0.026  -0.04
O3 0.249 0.226 0.974  -0.04
O4 0.751 0.774 0.026  -0.04
O5 0.282 0.756 0.513  -0.04
O6 0.249 0.748 0.974  -0.04
Pb1 0.752 0.749 0.498  0.01
Pb2 0.248 0.251 0.502  0.01
Np1 0.000 0.500 0.000  1.19

**Magnetic moment**: 1.00 μB per cell
**Volume**: 128.4 Å³/cell
**Raw total energy**: -7.30 eV per atom

=====

Density functional theory data (PBE) for a geometry-optimized Lu2CdRh structure.

Lattice parameters (Å, degrees): 4.950 4.950 4.950 60.00 60.00 60.00
Sites, in units of the cell vectors:
Lu1 0.250 0.250 0.250
Lu2 0.750 0.750 0.750
Cd1 0.000 0.000 0.000
Rh1 0.500 0.500 0.500

**Magnetic moment**: 0.00 μB per cell
**Volume**: 85.7 Å³/cell
**Raw total energy**: -4.90 eV per atom
**N(E_F)**: 2.57 states/eV per cell